(1)
VASP calculation (GGA-PBEsol) on a relaxed ZnCdPb2 crystal.

Calculated values
formation enthalpy at 0 K: 0.09 eV per atom
distance to the lowest polymorph of the same formula: 0 meV/atom
V: 96 Å³/f.u.
density of states at the Fermi level: 0.29 states/eV per atom
total magnetic moment: 0.000 μB per atom

Geometry as CIF:
```
data_ZnCdPb2
_symmetry_space_group_name_H-M 'P 4 m m'
_symmetry_Int_Tables_number 99
_symmetry_space_group_name_Hall 'P 4 -2'
_cell_length_a 3.549
_cell_length_b 3.549
_cell_length_c 7.642
_cell_angle_alpha 90.00
_cell_angle_beta 90.00
_cell_angle_gamma 90.00
loop_
_atom_site_label
_atom_site_type_symbol
_atom_site_fract_x
_atom_site_fract_y
_atom_site_fract_z
Zn1 Zn 0.000 0.000 0.000
Cd1 Cd 0.500 0.500 0.182
Pb1 Pb 0.000 0.000 0.440
Pb2 Pb 0.500 0.500 0.767
```

***

(2)
VASP calculation (GGA-PBEsol) on a relaxed Mg2MnB2Ir5 crystal.

Calculated values
formation enthalpy at 0 K: -0.41 eV per atom
V: 127 Å³/f.u.
density of states at the Fermi level: 0.33 states/eV per atom
total magnetic moment: 0.280 μB per atom

Geometry as CIF:
```
data_Mg2MnB2Ir5
_symmetry_space_group_name_H-M 'P 4/m b m'
_symmetry_Int_Tables_number 127
_symmetry_space_group_name_Hall '-P 4 2ab'
_cell_length_a 9.363
_cell_length_b 9.363
_cell_length_c 2.905
_cell_angle_alpha 90.00
_cell_angle_beta 90.00
_cell_angle_gamma 90.00
loop_
_atom_site_label
_atom_site_type_symbol
_atom_site_fract_x
_atom_site_fract_y
_atom_site_fract_z
Mg1 Mg 0.177 0.323 0.000
Mn1 Mn 0.000 0.000 0.000
B1 B 0.126 0.626 0.000
Ir1 Ir 0.000 0.500 0.500
Ir2 Ir 0.071 0.787 0.500
```

***

(3)
VASP calculation (GGA-PBEsol) on a relaxed K2MoSe crystal.

Calculated values
distance to the lowest polymorph of the same formula: 94 meV/atom
V: 116 Å³/f.u.
density of states at the Fermi level: 0.41 states/eV per atom
energy relative to the elements, uncorrected: 0.77 eV per atom
total magnetic moment: 1.387 μB per atom

Geometry as CIF:
```
data_K2MoSe
_symmetry_space_group_name_H-M 'I -4 m 2'
_symmetry_Int_Tables_number 119
_symmetry_space_group_name_Hall 'I -4 -2'
_cell_length_a 4.996
_cell_length_b 4.996
_cell_length_c 9.259
_cell_angle_alpha 90.00
_cell_angle_beta 90.00
_cell_angle_gamma 90.00
loop_
_atom_site_label
_atom_site_type_symbol
_atom_site_fract_x
_atom_site_fract_y
_atom_site_fract_z
K1 K 0.000 0.000 0.000
K2 K 0.000 0.500 0.250
Mo1 Mo 0.000 0.000 0.500
Se1 Se 0.000 0.500 0.750
```

***

(4)
VASP calculation (GGA-PBEsol) on a relaxed CdSiAu2 crystal.

Calculated values
V: 70 Å³/f.u.
density of states at the Fermi level: 0.29 states/eV per atom
energy relative to the elements, uncorrected: 0.08 eV per atom
total magnetic moment: 0.000 μB per atom

Geometry as CIF:
```
data_CdSiAu2
_symmetry_space_group_name_H-M 'R 3 m'
_symmetry_Int_Tables_number 160
_symmetry_space_group_name_Hall 'R 3 -2"'
_cell_length_a 3.0785
_cell_length_b 3.0785
_cell_length_c 25.7197
_cell_angle_alpha 90.00
_cell_angle_beta 90.00
_cell_angle_gamma 120.00
loop_
_atom_site_label
_atom_site_type_symbol
_atom_site_fract_x
_atom_site_fract_y
_atom_site_fract_z
Cd1 Cd 0.0000 0.0000 0.0000
Si1 Si 0.0000 0.0000 0.7557
Au1 Au 0.0000 0.0000 0.2462
Au2 Au 0.0000 0.0000 0.4923
```